DFT (meta-GGA SCAN) results for ZnCdTc2 at its PBEsol-relaxed geometry.

Lattice parameters (Å, degrees): 6.196 6.196 6.196 90.00 90.00 90.00
Sites, in units of the cell vectors:
Zn1 0.000 0.000 0.000
Zn2 0.000 0.500 0.500
Zn3 0.500 0.000 0.500
Zn4 0.500 0.500 0.000
Cd1 0.000 0.000 0.500
Cd2 0.000 0.500 0.000
Cd3 0.500 0.000 0.000
Cd4 0.500 0.500 0.500
Tc1 0.250 0.250 0.250
Tc2 0.250 0.250 0.750
Tc3 0.250 0.750 0.250
Tc4 0.250 0.750 0.750
Tc5 0.750 0.250 0.250
Tc6 0.750 0.250 0.750
Tc7 0.750 0.750 0.250
Tc8 0.750 0.750 0.750

Output
V (A^3/atom): 14.9
Polymorph energy (0 for the lowest one) (meV per atom): 632.0
D(E_F) (states/eV/atom): 0.877
ΔE_f (eV/atom): 0.658
SG: Fm-3m